First-principles (PBE-GGA) data for Pa3Co7Ni2 after structural relaxation, as listed in Alexandria via LeMat-Bulk.

```
Pa3Co7Ni2
1.0
3.857 0.000 0.000
0.000 3.857 0.000
-1.928 -1.928 11.804
Pa Co Ni
3 7 2
Cartesian
0.000 0.000 7.880 Pa
1.928 1.928 3.924 Pa
1.928 1.928 0.000 Pa
0.000 0.000 0.000 Co
1.928 0.000 9.944 Co
0.000 1.928 9.944 Co
0.000 1.928 1.860 Co
1.928 0.000 1.860 Co
0.000 0.000 5.707 Co
1.928 1.928 6.097 Co
0.000 0.000 3.311 Ni
1.928 1.928 8.494 Ni
```

Properties
Energy relative to the elements in meV per atom: -198.1
Electronic total energy in eV per atom: -7.68
Crystal system: tetragonal

***

First-principles (PBE-GGA) data for Pa3Co2Ni3 after structural relaxation, as listed in Alexandria via LeMat-Bulk.

```
Pa3Co2Ni3
1.0
3.793 0.000 0.000
-1.896 4.512 0.000
0.000 0.000 15.646
Pa Co Ni
6 4 6
Cartesian
1.896 3.942 6.239 Pa
0.000 0.570 14.062 Pa
1.896 3.942 1.584 Pa
0.000 0.570 9.407 Pa
1.896 1.400 3.911 Pa
0.000 3.113 11.734 Pa
1.896 2.659 13.710 Co
0.000 1.854 5.887 Co
1.896 2.659 9.759 Co
0.000 1.854 1.936 Co
1.896 1.342 7.489 Ni
0.000 3.171 15.312 Ni
1.896 1.342 0.334 Ni
0.000 3.171 8.157 Ni
0.000 3.432 3.911 Ni
1.896 1.081 11.734 Ni
```

Properties
Energy relative to the elements in meV per atom: -349.6
Electronic total energy in eV per atom: -7.85
Crystal system: orthorhombic

***

What is the energy relative to the elements in the first record? -198.1 meV per atom